A relaxed structure of RbPrCrF6. Source: Alexandria via LeMat-Bulk, functional PBE with a Hubbard U.

Results
ρ: 4.1 Mg/m³
Crystal system: orthorhombic
Total energy: -107.6 eV per cell
Magnetization: 0.444 μB/atom
Space group: Imma, No. 74

Unit cell a=7.8117 b=7.7207 c=7.6480 alpha=120.32 beta=120.71 gamma=90.00
Sites, in units of the cell vectors:
F  0.8755  0.1255  0.7510
F  0.5589  0.3850  0.7357
F  0.4411  0.6150  0.2643
Pr  0.0000  0.0000  0.5000
Cr  0.5000  0.0000  0.0000
F  0.1245  0.8745  0.2490
Pr  0.5000  0.0000  0.5000
F  0.4411  0.1493  0.2643
F  0.1767  0.8507  0.7357
F  0.6167  0.8667  0.2334
Rb  0.8403  0.5903  0.6805
Rb  0.1597  0.4097  0.3195
F  0.8233  0.1493  0.2643
F  0.3833  0.1333  0.7666
F  0.1767  0.3850  0.7357
F  0.5589  0.8507  0.7357
Cr  0.5000  0.5000  0.0000
F  0.8233  0.6150  0.2643